Model P:
Density functional theory data (PBE) for a geometry-optimized CaScPO2 structure.

Unit cell a=4.1350 b=4.1350 c=5.1437 alpha=90.00 beta=90.00 gamma=90.00
Last column: nearest neighbours and their distance in Å.
Sites, in units of the cell vectors:
Sc (0.0000, 0.0000, 0.0000)  4 O 2.07
P (0.0000, 0.0000, 0.5000)  2 Sc 2.57
Ca (0.5000, 0.5000, 0.5000)  4 P 2.92
O (0.0000, 0.5000, 0.0000)  2 Sc 2.07
O (0.5000, 0.0000, 0.0000)  2 Sc 2.07

## Properties
- Magnetization: 0.342 μB per atom

=====

Model Q:
Density functional theory data (PBE) for a geometry-optimized CaScPO2 structure.

Unit cell a=4.1667 b=4.1667 c=5.4646 alpha=90.00 beta=90.00 gamma=90.00
Last column: nearest neighbours and their distance in Å.
Sites, in units of the cell vectors:
Sc (0.5000, 0.5000, 0.5000)  4 P 2.95
P (0.0000, 0.0000, 0.5000)  2 Ca 2.73, 4 Sc 2.95
Ca (0.0000, 0.0000, 0.0000)  4 O 2.08
O (0.0000, 0.5000, 0.0000)  2 Ca 2.08
O (0.5000, 0.0000, 0.0000)  2 Ca 2.08

## Properties
- Magnetization: 0.330 μB per atom

=====

Going by the computed energies, the most stable comes first: model P, model Q.

=====

Model P:
Density functional theory data (PBE) for a geometry-optimized CaPSeO2 structure.

Unit cell a=4.0574 b=4.0574 c=4.8156 alpha=90.00 beta=90.00 gamma=90.00
Last column: nearest neighbours and their distance in Å.
Sites, in units of the cell vectors:
P (0.0000, 0.0000, 0.5000)  2 Se 2.41
Ca (0.5000, 0.5000, 0.5000)  4 P 2.87, 8 O 3.15
O (0.0000, 0.5000, 0.0000)  2 Se 2.03
O (0.5000, 0.0000, 0.0000)  2 Se 2.03
Se (0.0000, 0.0000, 0.0000)  4 O 2.03

## Properties
- Magnetization: 0.062 μB per atom

=====

Model Q:
Density functional theory data (PBE) for a geometry-optimized CaPSeO2 structure.

Unit cell a=4.1146 b=4.1146 c=7.6018 alpha=90.00 beta=90.00 gamma=90.00
Last column: nearest neighbours and their distance in Å.
Sites, in units of the cell vectors:
P (0.0000, 0.0000, 0.5000)  4 Se 2.91
Ca (0.0000, 0.0000, 0.0000)  4 O 2.06
O (0.0000, 0.5000, 0.0000)  2 Ca 2.06
O (0.5000, 0.0000, 0.0000)  2 Ca 2.06
Se (0.5000, 0.5000, 0.5000)  4 P 2.91

## Properties
- Magnetization: 0.588 μB per atom

=====

Going by the computed energies, the most stable comes first: model P, model Q.

=====

Model P:
Density functional theory data (PBE) for a geometry-optimized CaP2SeO structure.

Unit cell a=5.0608 b=5.0608 c=3.7907 alpha=90.00 beta=90.00 gamma=90.00
Last column: nearest neighbours and their distance in Å.
Sites, in units of the cell vectors:
P (0.0000, 0.5000, 0.0000)  2 Se 2.53
P (0.5000, 0.0000, 0.0000)  2 Se 2.53
Ca (0.5000, 0.5000, 0.5000)  8 P 3.16
O (0.0000, 0.0000, 0.5000)  2 Se 1.90
Se (0.0000, 0.0000, 0.0000)  2 O 1.90

## Properties
- Magnetization: 0.000 μB per atom

=====

Model Q:
Density functional theory data (PBE) for a geometry-optimized CaP2SeO structure.

Unit cell a=5.3697 b=5.3697 c=4.0725 alpha=90.00 beta=90.00 gamma=90.00
Last column: nearest neighbours and their distance in Å.
Sites, in units of the cell vectors:
P (0.0000, 0.5000, 0.0000)  2 Ca 2.68
P (0.5000, 0.0000, 0.0000)  2 Ca 2.68
Ca (0.0000, 0.0000, 0.0000)  2 O 2.04
O (0.0000, 0.0000, 0.5000)  2 Ca 2.04
Se (0.5000, 0.5000, 0.5000)  8 P 3.37

## Properties
- Magnetization: 0.173 μB per atom

=====

Going by the computed energies, the most stable comes first: model P, model Q.

=====

Model P:
Density functional theory data (PBE) for a geometry-optimized CaSnPO2 structure.

Unit cell a=4.2543 b=4.2543 c=5.7228 alpha=90.00 beta=90.00 gamma=90.00
Last column: nearest neighbours and their distance in Å.
Sites, in units of the cell vectors:
P (0.0000, 0.0000, 0.5000)  2 Ca 2.86, 4 Sn 3.01
Ca (0.0000, 0.0000, 0.0000)  4 O 2.13
Sn (0.5000, 0.5000, 0.5000)  4 P 3.01
O (0.0000, 0.5000, 0.0000)  2 Ca 2.13
O (0.5000, 0.0000, 0.0000)  2 Ca 2.13

## Properties
- Magnetization: 0.369 μB per atom

=====

Model Q:
Density functional theory data (PBE) for a geometry-optimized CaSnPO2 structure.

Unit cell a=4.1378 b=4.1378 c=5.1549 alpha=90.00 beta=90.00 gamma=90.00
Last column: nearest neighbours and their distance in Å.
Sites, in units of the cell vectors:
P (0.0000, 0.0000, 0.5000)  2 Sn 2.58
Ca (0.5000, 0.5000, 0.5000)  4 P 2.93
Sn (0.0000, 0.0000, 0.0000)  4 O 2.07
O (0.0000, 0.5000, 0.0000)  2 Sn 2.07
O (0.5000, 0.0000, 0.0000)  2 Sn 2.07

## Properties
- Magnetization: 0.168 μB per atom

=====

Going by the computed energies, the most stable comes first: model Q, model P.